Entry 1:
DFT (PBE-GGA) results for a relaxed structure of CaCuRu.

Lattice parameters (Å, degrees): 5.537 5.537 5.537 144.99 144.99 50.35
Element x y z (fractional)
Ca (0.000, 0.000, 0.000)
Cu (0.292, 0.292, 0.000)
Ru (0.706, 0.706, 0.000)

Values from the calculation:
E above lowest polymorph, meV/atom: 312.9
Formation enthalpy at 0 K, eV/atom: 0.255
Symmetry: No. 107
Spin magnetization, μB/atom: 0.000
Density of states at the Fermi level, states/eV/f.u.: 2.3


Entry 2:
DFT (PBE-GGA) results for a relaxed structure of CaCuRu.

Lattice parameters (Å, degrees): 4.412 4.412 4.412 60.00 60.00 60.00
Element x y z (fractional)
Ca (0.000, 0.000, 0.000)
Cu (0.250, 0.250, 0.250)
Ru (0.500, 0.500, 0.500)

Values from the calculation:
E above lowest polymorph, meV/atom: 677.1
Formation enthalpy at 0 K, eV/atom: 0.619
Symmetry: No. 216
Spin magnetization, μB/atom: 0.355
Density of states at the Fermi level, states/eV/f.u.: 4.2